Entry 1:
NaCaScI2 after structural relaxation. Source: Alexandria, functional PBE.

Results
* total magnetic moment: 0.859 Bohr magnetons per cell
* formation energy from raw total energies: 0.095 eV/atom
* polymorph energy (0 for the lowest one): 0.078 eV/atom

Lattice parameters (Å, degrees): 5.675 5.675 6.506 90.00 90.00 90.00
Space group P4/mmm (No. 123)
Symmetry-distinct sites (fractional):
Na (0.000, 0.000, 0.000) [1 per cell]
Ca (0.000, 0.000, 0.500) [1 per cell]
Sc (0.500, 0.500, 0.500) [1 per cell]
I (0.000, 0.500, 0.000) [2 per cell]

---

Entry 2:
BaTe2Br after structural relaxation. Source: Alexandria, functional PBE.

Results
* total magnetic moment: 0.000 Bohr magnetons per cell
* formation energy from raw total energies: -1.069 eV/atom
* polymorph energy (0 for the lowest one): 0.163 eV/atom

Lattice parameters (Å, degrees): 5.021 6.478 9.185 90.00 90.00 90.00
Space group Imm2 (No. 44)
Symmetry-distinct sites (fractional):
Ba (0.000, 0.000, 0.000) [2 per cell]
Te (0.000, 0.000, 0.489) [2 per cell]
Te (0.000, 0.500, 0.834) [2 per cell]
Br (0.000, 0.500, 0.266) [2 per cell]

---

Record order is preserved below.
E_tot: -12.28 -28.31 eV/cell